# 1
Entry from Alexandria: crystalline Ca2Ga2Au3 at its relaxed geometry (PBE).

Unit cell a=9.9928 b=9.9928 c=7.4524 alpha=90.00 beta=90.00 gamma=155.38
Last column: nearest neighbours and their distance in Å.
Atoms (fractional coordinates):
Ca (0.0517, 0.9483, 0.7500)  9 Au 3.13-3.46
Ca (0.1543, 0.8457, 0.2500)  6 Au 3.10-3.22, 6 Ga 3.19-3.31
Ca (0.8457, 0.1543, 0.7500)  6 Au 3.10-3.22, 6 Ga 3.19-3.31
Ca (0.9483, 0.0517, 0.2500)  9 Au 3.13-3.46
Ga (0.3063, 0.6937, 0.0518)  4 Au 2.61-2.79
Ga (0.3063, 0.6937, 0.4482)  4 Au 2.61-2.79
Ga (0.6937, 0.3063, 0.5518)  4 Au 2.61-2.79
Ga (0.6937, 0.3063, 0.9482)  4 Au 2.61-2.79
Au (0.2218, 0.7782, 0.7500)  6 Ga 2.65-2.79
Au (0.4337, 0.5663, 0.5558)  1 Ga 2.61, 2 Au 2.72-2.89
Au (0.4337, 0.5663, 0.9442)  1 Ga 2.61, 2 Au 2.72-2.89
Au (0.5663, 0.4337, 0.0558)  1 Ga 2.61, 2 Au 2.72-2.89
Au (0.5663, 0.4337, 0.4442)  1 Ga 2.61, 2 Au 2.72-2.89
Au (0.7782, 0.2218, 0.2500)  6 Ga 2.65-2.79

Computed properties:
N(E_F), states/eV/cell: 5.1
E_tot, eV per formula unit: -24.52
Magnetization, Bohr magnetons per cell: 0.00
Energy above the lowest structure with this stoichiometry, meV/atom: 0

# 2
Entry from Alexandria: crystalline La3Ga2Ni at its relaxed geometry (PBE).

Unit cell a=12.2983 b=4.3773 c=11.8319 alpha=90.00 beta=90.00 gamma=90.00
Last column: nearest neighbours and their distance in Å.
Atoms (fractional coordinates):
La (0.0453, 0.2500, 0.1262)  1 Ni 3.07, 5 Ga 3.11-3.33
La (0.1169, 0.7500, 0.5529)  3 Ni 3.06-3.09, 5 Ga 3.12-3.22
La (0.2337, 0.2500, 0.7950)  2 Ni 2.95, 3 Ga 3.07-3.27
La (0.2663, 0.7500, 0.2950)  2 Ni 2.95, 3 Ga 3.07-3.27
La (0.3831, 0.2500, 0.0529)  3 Ni 3.06-3.09, 5 Ga 3.12-3.22
La (0.4547, 0.7500, 0.6262)  1 Ni 3.07, 5 Ga 3.11-3.33
La (0.5453, 0.2500, 0.3738)  1 Ni 3.07, 5 Ga 3.11-3.33
La (0.6169, 0.7500, 0.9471)  3 Ni 3.06-3.09, 5 Ga 3.12-3.22
La (0.7337, 0.2500, 0.7050)  2 Ni 2.95, 3 Ga 3.07-3.27
La (0.7663, 0.7500, 0.2050)  2 Ni 2.95, 3 Ga 3.07-3.27
La (0.8831, 0.2500, 0.4471)  3 Ni 3.06-3.09, 5 Ga 3.12-3.22
La (0.9547, 0.7500, 0.8738)  1 Ni 3.07, 5 Ga 3.11-3.33
Ga (0.0167, 0.7500, 0.3104)  2 Ni 2.66
Ga (0.1986, 0.7500, 0.9967)  1 Ni 2.63
Ga (0.3014, 0.2500, 0.4967)  1 Ni 2.63
Ga (0.4833, 0.2500, 0.8104)  2 Ni 2.66
Ga (0.5167, 0.7500, 0.1896)  2 Ni 2.66
Ga (0.6986, 0.7500, 0.5033)  1 Ni 2.63
Ga (0.8014, 0.2500, 0.0033)  1 Ni 2.63
Ga (0.9833, 0.2500, 0.6896)  2 Ni 2.66
Ni (0.1242, 0.2500, 0.3725)  3 Ga 2.63-2.66
Ni (0.3758, 0.7500, 0.8725)  3 Ga 2.63-2.66
Ni (0.6242, 0.2500, 0.1275)  3 Ga 2.63-2.66
Ni (0.8758, 0.7500, 0.6275)  3 Ga 2.63-2.66

Computed properties:
N(E_F), states/eV/cell: 25.9
E_tot, eV per formula unit: -29.65
Magnetization, Bohr magnetons per cell: 0.00

# 3
Entry from Alexandria: crystalline La2Pr3SmDy6 at its relaxed geometry (PBE).

Unit cell a=6.3062 b=6.3062 c=11.8953 alpha=95.06 beta=95.06 gamma=120.00
Last column: nearest neighbours and their distance in Å.
Atoms (fractional coordinates):
La (0.1664, 0.8336, 0.0000)  6 Dy 3.61, 3 La 3.64, 3 Sm 3.64
La (0.8336, 0.1664, 0.0000)  6 Dy 3.61, 3 La 3.64, 3 Sm 3.64
Pr (0.0000, 0.0000, 0.5000)  6 Dy 3.60, 6 Pr 3.64
Pr (0.3334, 0.6666, 0.5000)  6 Dy 3.60, 6 Pr 3.64
Pr (0.6666, 0.3334, 0.5000)  6 Dy 3.60, 6 Pr 3.64
Sm (0.5000, 0.5000, 0.0000)  6 Dy 3.60, 6 La 3.64
Dy (0.0841, 0.4167, 0.7498)  3 Pr 3.60, 1 Sm 3.60, 2 La 3.61, 6 Dy 3.63-3.65
Dy (0.2509, 0.2509, 0.2503)  3 Pr 3.60, 1 Sm 3.60, 2 La 3.61, 6 Dy 3.63-3.65
Dy (0.4167, 0.0841, 0.7498)  3 Pr 3.60, 1 Sm 3.60, 2 La 3.61, 6 Dy 3.63-3.65
Dy (0.5833, 0.9159, 0.2502)  3 Pr 3.60, 1 Sm 3.60, 2 La 3.61, 6 Dy 3.63-3.65
Dy (0.7491, 0.7491, 0.7497)  3 Pr 3.60, 1 Sm 3.60, 2 La 3.61, 6 Dy 3.63-3.65
Dy (0.9159, 0.5833, 0.2502)  3 Pr 3.60, 1 Sm 3.60, 2 La 3.61, 6 Dy 3.63-3.65

Computed properties:
N(E_F), states/eV/cell: 13.7
E_tot, eV per formula unit: -56.37
Magnetization, Bohr magnetons per cell: 0.00

# 4
Entry from Alexandria: crystalline CdSb2TeN at its relaxed geometry (PBE).

Unit cell a=4.7931 b=4.7931 c=4.9588 alpha=90.00 beta=90.00 gamma=90.00
Last column: nearest neighbours and their distance in Å.
Atoms (fractional coordinates):
Cd (0.0000, 0.0000, 0.0000)  4 Te 3.39, 8 Sb 3.45
Sb (0.0000, 0.5000, 0.5000)  2 N 2.40
Sb (0.5000, 0.0000, 0.5000)  2 N 2.40
Te (0.5000, 0.5000, 0.0000)  2 N 2.48
N (0.5000, 0.5000, 0.5000)  4 Sb 2.40, 2 Te 2.48

Computed properties:
N(E_F), states/eV/cell: 3.6
E_form (uncorrected), eV per atom: 0.601
E_tot, eV per formula unit: -17.62
Magnetization, Bohr magnetons per cell: 0.00
Energy above the lowest structure with this stoichiometry, meV/atom: 0

# 5
Entry from Alexandria: crystalline Cs4HgGe3Cl12 at its relaxed geometry (PBE).

Unit cell a=9.2733 b=9.2733 c=9.2733 alpha=109.47 beta=109.47 gamma=109.47
Last column: nearest neighbours and their distance in Å.
Atoms (fractional coordinates):
Cs (0.0000, 0.0000, 0.5000)  12 Cl 3.79
Cs (0.0000, 0.5000, 0.0000)  12 Cl 3.79
Cs (0.5000, 0.0000, 0.0000)  12 Cl 3.79
Cs (0.5000, 0.5000, 0.5000)  12 Cl 3.79
Hg (0.0000, 0.0000, 0.0000)  6 Cl 2.72
Ge (0.0000, 0.5000, 0.5000)  6 Cl 2.63-2.68
Ge (0.5000, 0.0000, 0.5000)  6 Cl 2.63-2.68
Ge (0.5000, 0.5000, 0.0000)  6 Cl 2.63-2.68
Cl (0.0000, 0.2542, 0.2542)  1 Ge 2.63, 1 Hg 2.72
Cl (0.0000, 0.7458, 0.7458)  1 Ge 2.63, 1 Hg 2.72
Cl (0.2500, 0.5000, 0.7500)  2 Ge 2.68
Cl (0.2500, 0.7500, 0.5000)  2 Ge 2.68
Cl (0.2542, 0.0000, 0.2542)  1 Ge 2.63, 1 Hg 2.72
Cl (0.2542, 0.2542, 0.0000)  1 Ge 2.63, 1 Hg 2.72
Cl (0.5000, 0.2500, 0.7500)  2 Ge 2.68
Cl (0.5000, 0.7500, 0.2500)  2 Ge 2.68
Cl (0.7458, 0.0000, 0.7458)  1 Ge 2.63, 1 Hg 2.72
Cl (0.7458, 0.7458, 0.0000)  1 Ge 2.63, 1 Hg 2.72
Cl (0.7500, 0.2500, 0.5000)  2 Ge 2.68
Cl (0.7500, 0.5000, 0.2500)  2 Ge 2.68

Computed properties:
N(E_F), states/eV/cell: 0.1
E_form (uncorrected), eV per atom: -1.289
E_tot, eV per formula unit: -65.51
Magnetization, Bohr magnetons per cell: 0.00

# 6
Entry from Alexandria: crystalline CeNdGe2Pt2 at its relaxed geometry (PBE).

Unit cell a=4.3836 b=4.3836 c=7.7949 alpha=90.00 beta=90.00 gamma=120.00
Last column: nearest neighbours and their distance in Å.
Atoms (fractional coordinates):
Ce (0.0000, 0.0000, 0.0000)  6 Ge 3.16, 6 Pt 3.16
Nd (0.0000, 0.0000, 0.5000)  6 Pt 3.22, 6 Ge 3.23
Ge (0.3333, 0.6667, 0.2423)  3 Pt 2.53
Ge (0.6667, 0.3333, 0.7577)  3 Pt 2.53
Pt (0.3333, 0.6667, 0.7563)  3 Ge 2.53
Pt (0.6667, 0.3333, 0.2437)  3 Ge 2.53

Computed properties:
N(E_F), states/eV/cell: 6.5
E_tot, eV per formula unit: -38.33
Magnetization, Bohr magnetons per cell: 0.00

# 7
Entry from Alexandria: crystalline La2TlCl2 at its relaxed geometry (PBE).

Unit cell a=10.9627 b=10.9627 c=10.9627 alpha=22.81 beta=22.81 gamma=22.81
Last column: nearest neighbours and their distance in Å.
Atoms (fractional coordinates):
La (0.1015, 0.1015, 0.1015)  3 Cl 2.94, 3 Tl 3.26
La (0.8985, 0.8985, 0.8985)  3 Cl 2.94, 3 Tl 3.26
Tl (0.5000, 0.5000, 0.5000)  6 La 3.26
Cl (0.2802, 0.2802, 0.2802)  3 La 2.94
Cl (0.7198, 0.7198, 0.7198)  3 La 2.94

Computed properties:
N(E_F), states/eV/cell: 2.0
E_form (uncorrected), eV per atom: -1.409
E_tot, eV per formula unit: -22.96
Magnetization, Bohr magnetons per cell: 0.00
Energy above the lowest structure with this stoichiometry, meV/atom: 0

# 8
Entry from Alexandria: crystalline TbPr2Zn3Pt4 at its relaxed geometry (PBE).

Unit cell a=4.2093 b=4.2093 c=11.7306 alpha=90.00 beta=90.00 gamma=90.00
Last column: nearest neighbours and their distance in Å.
Atoms (fractional coordinates):
Tb (0.0000, 0.0000, 0.0000)  4 Pt 2.81, 4 Zn 2.98
Pr (0.0000, 0.5000, 0.7245)  4 Zn 3.20, 8 Pt 3.28-3.37
Pr (0.5000, 0.0000, 0.2755)  4 Zn 3.20, 8 Pt 3.28-3.37
Zn (0.0000, 0.5000, 0.3753)  5 Pt 2.54-2.56
Zn (0.5000, 0.0000, 0.6247)  5 Pt 2.54-2.56
Zn (0.5000, 0.5000, 0.0000)  4 Pt 2.81, 4 Tb 2.98
Pt (0.0000, 0.0000, 0.5000)  4 Zn 2.56
Pt (0.0000, 0.5000, 0.1589)  3 Zn 2.54-2.81, 2 Tb 2.81
Pt (0.5000, 0.0000, 0.8411)  3 Zn 2.54-2.81, 2 Tb 2.81
Pt (0.5000, 0.5000, 0.5000)  4 Zn 2.56

Computed properties:
N(E_F), states/eV/cell: 4.5
E_tot, eV per formula unit: -50.39
Magnetization, Bohr magnetons per cell: 0.00

# 9
Entry from Alexandria: crystalline Tb2HoAg5 at its relaxed geometry (PBE).

Unit cell a=7.9279 b=7.9279 c=7.9279 alpha=142.81 beta=142.81 gamma=53.61
Last column: nearest neighbours and their distance in Å.
Atoms (fractional coordinates):
Tb (0.2344, 0.2344, 0.0000)  9 Ag 3.01-3.32
Tb (0.7656, 0.7656, 0.0000)  9 Ag 3.01-3.32
Ho (0.5000, 0.5000, 0.0000)  8 Ag 3.04
Ag (0.0000, 0.0000, 0.0000)  8 Ag 3.04, 2 Tb 3.32
Ag (0.1192, 0.6192, 0.5000)  4 Tb 3.01-3.27, 2 Ho 3.04, 2 Ag 3.04
Ag (0.3808, 0.8808, 0.5000)  4 Tb 3.01-3.27, 2 Ag 3.04, 2 Ho 3.04
Ag (0.6192, 0.1192, 0.5000)  4 Tb 3.01-3.27, 2 Ho 3.04, 2 Ag 3.04
Ag (0.8808, 0.3808, 0.5000)  4 Tb 3.01-3.27, 2 Ag 3.04, 2 Ho 3.04

Computed properties:
N(E_F), states/eV/cell: 5.5
E_tot, eV per formula unit: -29.99
Magnetization, Bohr magnetons per cell: 0.00

# 10
Entry from Alexandria: crystalline Tl2HgP at its relaxed geometry (PBE).

Unit cell a=7.9430 b=7.9430 c=7.9430 alpha=30.68 beta=30.68 gamma=30.68
Last column: nearest neighbours and their distance in Å.
Atoms (fractional coordinates):
Tl (0.0000, 0.0000, 0.0000)  3 P 2.88
Tl (0.2008, 0.2008, 0.2008)  3 P 2.83
Hg (0.7681, 0.7681, 0.7681)  6 Tl 3.31-3.34
P (0.5980, 0.5980, 0.5980)  6 Tl 2.83-2.88

Computed properties:
N(E_F), states/eV/cell: 1.0
E_tot, eV per formula unit: -9.97
Magnetization, Bohr magnetons per cell: 0.00
Energy above the lowest structure with this stoichiometry, meV/atom: 2

# 11
Entry from Alexandria: crystalline Y3Ag3Hg2 at its relaxed geometry (PBE).

Unit cell a=7.5195 b=7.5195 c=3.9665 alpha=90.00 beta=90.00 gamma=120.00
Last column: nearest neighbours and their distance in Å.
Atoms (fractional coordinates):
Y (0.0000, 0.3780, 0.0000)  4 Hg 3.08, 4 Ag 3.17
Y (0.3780, 0.0000, 0.0000)  4 Hg 3.08, 4 Ag 3.17
Y (0.6220, 0.6220, 0.0000)  4 Hg 3.08, 4 Ag 3.17
Ag (0.0000, 0.7746, 0.5000)  2 Ag 2.94, 2 Hg 3.00, 4 Y 3.17
Ag (0.2254, 0.2254, 0.5000)  2 Ag 2.94, 2 Hg 3.00, 4 Y 3.17
Ag (0.7746, 0.0000, 0.5000)  2 Ag 2.94, 2 Hg 3.00, 4 Y 3.17
Hg (0.3333, 0.6667, 0.5000)  3 Ag 3.00, 6 Y 3.08
Hg (0.6667, 0.3333, 0.5000)  3 Ag 3.00, 6 Y 3.08

Computed properties:
N(E_F), states/eV/cell: 5.2
E_tot, eV per formula unit: -31.04
Magnetization, Bohr magnetons per cell: 0.00

# 12
Entry from Alexandria: crystalline Ce5Bi5H at its relaxed geometry (PBE).

Unit cell a=7.7440 b=7.7440 c=8.8491 alpha=108.03 beta=108.03 gamma=48.40
Last column: nearest neighbours and their distance in Å.
Atoms (fractional coordinates):
Ce (0.0000, 0.0000, 0.0000)  4 Bi 3.17, 2 H 3.17
Ce (0.3360, 0.3360, 0.1562)  1 H 3.07, 5 Bi 3.14-3.27
Ce (0.3441, 0.3441, 0.6876)  1 H 2.89, 5 Bi 3.18-3.22
Ce (0.6559, 0.6559, 0.3124)  1 H 2.89, 5 Bi 3.18-3.22
Ce (0.6640, 0.6640, 0.8438)  1 H 3.07, 5 Bi 3.14-3.27
Bi (0.1538, 0.1538, 0.8088)  5 Ce 3.17-3.27
Bi (0.1722, 0.1722, 0.3414)  5 Ce 3.17-3.26
Bi (0.5000, 0.5000, 0.5000)  4 Ce 3.14-3.18
Bi (0.8278, 0.8278, 0.6586)  5 Ce 3.17-3.26
Bi (0.8462, 0.8462, 0.1912)  5 Ce 3.17-3.27
H (0.5000, 0.5000, 0.0000)  6 Ce 2.89-3.17

Computed properties:
N(E_F), states/eV/cell: 31.4
E_tot, eV per formula unit: -56.48
Magnetization, Bohr magnetons per cell: 4.35